Compound: InCu2SnSb
Source: the Alexandria database
Functional: PBE
Structure: relaxed

Computed properties:
Its density of states at the Fermi level is 3.4 states/eV/cell. The value obtained for the energy is -0.225 Ry per atom. Its raw formation energy is 0.75 eV per atom. Its crystal system is tetragonal.

Unit cell a=4.858 b=5.667 c=4.858 alpha=90.00 beta=90.00 gamma=90.00
Sites, in units of the cell vectors:
Cu 0.000 0.000 0.500
Cu 0.500 0.000 0.000
In 0.000 0.000 0.000
Sn 0.000 0.500 0.000
Sb 0.500 0.500 0.500